# 1
This record from Alexandria describes a geometry-optimized Tm2Pt4Rh structure. The functional is GGA-PBE.

Lattice parameters (Å, degrees): 8.9765 5.4426 6.1424 116.30 90.00 90.00
Element x y z (fractional)
Tm1 0.0000 0.6452 0.2904
Tm2 0.0000 0.3548 0.7096
Tm3 0.5000 0.8548 0.7096
Tm4 0.5000 0.1452 0.2904
Pt1 0.7499 0.7502 0.0000
Pt2 0.7500 0.5003 0.5000
Pt3 0.7500 0.0003 0.5000
Pt4 0.7501 0.2502 0.0000
Pt5 0.2499 0.7498 0.0000
Pt6 0.2500 0.9997 0.5000
Pt7 0.2500 0.4997 0.5000
Pt8 0.2501 0.2498 0.0000
Rh1 0.0000 0.0000 0.0000
Rh2 0.5000 0.5000 0.0000

Calculated values
- symmetry = Fmmm (69)
- Fermi-level density of states (states/eV/cell) = 12.4
- ρ (g cm⁻³) = 15.1
- volume (Å³ per cell) = 269.03

# 2
This record from Alexandria describes a geometry-optimized Tm6PtRh3 structure. The functional is GGA-PBE.

Lattice parameters (Å, degrees): 4.7102 8.1979 11.7526 90.00 90.00 90.00
Element x y z (fractional)
Tm1 0.5000 0.1654 0.9110
Tm2 0.5000 0.1673 0.5829
Tm3 0.5000 0.5000 0.2451
Tm4 0.5000 0.5000 0.7549
Tm5 0.5000 0.8327 0.4171
Tm6 0.5000 0.8346 0.0890
Tm7 0.0000 0.3346 0.4110
Tm8 0.0000 0.3327 0.0829
Tm9 0.0000 0.0001 0.7451
Tm10 0.0000 0.9999 0.2549
Tm11 0.0000 0.6673 0.9171
Tm12 0.0000 0.6654 0.5890
Pt1 0.5000 0.5000 0.5000
Pt2 0.0000 0.0000 0.0000
Rh1 0.5000 0.8345 0.6624
Rh2 0.5000 0.5000 0.0000
Rh3 0.5000 0.1655 0.3376
Rh4 0.0000 0.6655 0.1624
Rh5 0.0000 0.0000 0.5000
Rh6 0.0000 0.3345 0.8376

Calculated values
- symmetry = Pnnm (58)
- Fermi-level density of states (states/eV/cell) = 14.2
- ρ (g cm⁻³) = 11.1
- volume (Å³ per cell) = 453.81

# 3
This record from Alexandria describes a geometry-optimized Tm4PtRh structure. The functional is GGA-PBE.

Lattice parameters (Å, degrees): 6.7944 6.7878 6.8023 90.00 91.14 90.00
Element x y z (fractional)
Tm1 0.8357 0.6691 0.1735
Tm2 0.6643 0.1691 0.8265
Tm3 0.3241 0.3301 0.3331
Tm4 0.1759 0.8301 0.6669
Tm5 0.1643 0.3309 0.8265
Tm6 0.3357 0.8309 0.1735
Tm7 0.6759 0.6699 0.6669
Tm8 0.8241 0.1699 0.3331
Pt1 0.0000 0.0000 0.0000
Pt2 0.5000 0.5000 0.0000
Rh1 0.5000 0.0000 0.5000
Rh2 0.0000 0.5000 0.5000

Calculated values
- symmetry = P2_1/c (14)
- Fermi-level density of states (states/eV/cell) = 9.1
- ρ (g cm⁻³) = 10.3
- volume (Å³ per cell) = 313.66

# 4
This record from Alexandria describes a geometry-optimized Tm3Zn2PtRh3 structure. The functional is GGA-PBE.

Lattice parameters (Å, degrees): 3.1761 7.7403 7.7403 120.00 90.00 90.00
Element x y z (fractional)
Tm1 0.5000 0.7123 0.0000
Tm2 0.5000 0.0000 0.7123
Tm3 0.5000 0.2877 0.2877
Zn1 0.5000 0.6667 0.3333
Zn2 0.5000 0.3333 0.6667
Pt1 0.0000 0.0000 0.0000
Rh1 0.0000 0.6014 0.6014
Rh2 0.0000 0.0000 0.3986
Rh3 0.0000 0.3986 0.0000

Calculated values
- symmetry = P-62m (189)
- Fermi-level density of states (states/eV/cell) = 3.0
- ρ (g cm⁻³) = 11.5
- volume (Å³ per cell) = 164.79

# 5
This record from Alexandria describes a geometry-optimized TmZrPtRh structure. The functional is GGA-PBE.

Lattice parameters (Å, degrees): 4.7701 4.7701 4.7701 60.00 60.00 60.00
Element x y z (fractional)
Tm1 0.0000 0.0000 0.0000
Rh1 0.2500 0.2500 0.2500
Zr1 0.5000 0.5000 0.5000
Pt1 0.7500 0.7500 0.7500

Calculated values
- symmetry = F-43m (216)
- Fermi-level density of states (states/eV/cell) = 5.6
- ρ (g cm⁻³) = 12.1
- volume (Å³ per cell) = 76.75

# 6
This record from Alexandria describes a geometry-optimized UPt2Rh4 structure. The functional is GGA-PBE.

Lattice parameters (Å, degrees): 4.8283 4.8283 7.1915 109.61 109.61 90.00
Element x y z (fractional)
U1 0.0000 0.0000 0.0000
Pt1 0.1962 0.1962 0.3924
Pt2 0.8038 0.8038 0.6076
Rh1 0.6028 0.6028 0.2056
Rh2 0.3972 0.3972 0.7944
Rh3 0.0000 0.5000 0.0000
Rh4 0.5000 0.0000 0.0000

Calculated values
- symmetry = I4/mmm (139)
- Fermi-level density of states (states/eV/cell) = 10.1
- ρ (g cm⁻³) = 11.7
- volume (Å³ per cell) = 147.55

# 7
This record from Alexandria describes a geometry-optimized U2Pt2Rh5 structure. The functional is GGA-PBE.

Lattice parameters (Å, degrees): 4.1602 7.3912 6.2193 123.34 90.00 106.35
Element x y z (fractional)
U1 0.3510 0.7019 0.6894
U2 0.6490 0.2981 0.3106
Pt1 0.2198 0.4396 0.1114
Pt2 0.7802 0.5604 0.8886
Rh1 0.4449 0.8897 0.2219
Rh2 0.5551 0.1103 0.7781
Rh3 0.1177 0.2355 0.5553
Rh4 0.8823 0.7645 0.4447
Rh5 0.0000 0.0000 0.0000

Calculated values
- symmetry = C2/m (12)
- Fermi-level density of states (states/eV/cell) = 10.0
- ρ (g cm⁻³) = 15.2
- volume (Å³ per cell) = 150.42

# 8
This record from Alexandria describes a geometry-optimized U2Pt3Rh3 structure. The functional is GGA-PBE.

Lattice parameters (Å, degrees): 3.9805 4.0798 8.3768 90.00 90.00 90.00
Element x y z (fractional)
U1 0.0000 0.0000 0.7560
U2 0.0000 0.0000 0.2440
Pt1 0.5000 0.0000 0.5000
Pt2 0.0000 0.5000 0.0000
Pt3 0.0000 0.5000 0.5000
Rh1 0.5000 0.5000 0.7498
Rh2 0.5000 0.5000 0.2502
Rh3 0.5000 0.0000 0.0000

Calculated values
- symmetry = Pmmm (47)
- Fermi-level density of states (states/eV/cell) = 10.1
- ρ (g cm⁻³) = 16.7
- volume (Å³ per cell) = 136.04

# 9
This record from Alexandria describes a geometry-optimized UPt3Rh2 structure. The functional is GGA-PBE.

Lattice parameters (Å, degrees): 5.2943 5.2943 7.4448 83.98 83.98 92.43
Element x y z (fractional)
U1 0.9837 0.0163 0.2500
U2 0.0163 0.9837 0.7500
Pt1 0.7909 0.6291 0.5269
Pt2 0.3709 0.2091 0.9731
Pt3 0.2091 0.3709 0.4731
Pt4 0.6291 0.7909 0.0269
Pt5 0.6449 0.3551 0.2500
Pt6 0.3551 0.6449 0.7500
Rh1 0.1172 0.6281 0.1226
Rh2 0.3719 0.8828 0.3774
Rh3 0.8828 0.3719 0.8774
Rh4 0.6281 0.1172 0.6226

Calculated values
- symmetry = C2/c (15)
- Fermi-level density of states (states/eV/cell) = 10.4
- ρ (g cm⁻³) = 16.6
- volume (Å³ per cell) = 206.08

# 10
This record from Alexandria describes a geometry-optimized U2PtRh8 structure. The functional is GGA-PBE.

Lattice parameters (Å, degrees): 4.5989 4.8101 8.7029 100.35 105.32 90.00
Element x y z (fractional)
U1 0.8478 0.2519 0.6956
U2 0.1522 0.7481 0.3044
Pt1 0.5000 0.0000 0.0000
Rh1 0.4178 0.4407 0.8355
Rh2 0.6688 0.1166 0.3375
Rh3 0.7547 0.6708 0.5094
Rh4 0.0769 0.1553 0.1538
Rh5 0.2453 0.3292 0.4906
Rh6 0.3312 0.8834 0.6625
Rh7 0.5822 0.5593 0.1645
Rh8 0.9231 0.8447 0.8462

Calculated values
- symmetry = C2/m (12)
- Fermi-level density of states (states/eV/cell) = 10.1
- ρ (g cm⁻³) = 13.6
- volume (Å³ per cell) = 182.43

# 11
This record from Alexandria describes a geometry-optimized UPt5Rh2 structure. The functional is GGA-PBE.

Lattice parameters (Å, degrees): 3.9674 5.7443 11.4478 90.00 90.00 90.00
Element x y z (fractional)
U1 0.0000 0.0000 0.5000
U2 0.0000 0.5000 0.0000
Pt1 0.0000 0.0000 0.0000
Pt2 0.0000 0.5000 0.5000
Pt3 0.0000 0.4818 0.7550
Pt4 0.0000 0.5182 0.2450
Pt5 0.0000 0.0182 0.2550
Pt6 0.0000 0.9818 0.7450
Pt7 0.5000 0.2305 0.8731
Pt8 0.5000 0.7695 0.1269
Pt9 0.5000 0.2695 0.3731
Pt10 0.5000 0.7305 0.6269
Rh1 0.5000 0.2303 0.6185
Rh2 0.5000 0.7697 0.3815
Rh3 0.5000 0.2697 0.1185
Rh4 0.5000 0.7303 0.8815

Calculated values
- symmetry = Pbam (55)
- Fermi-level density of states (states/eV/cell) = 19.7
- ρ (g cm⁻³) = 18.1
- volume (Å³ per cell) = 260.90

# 12
This record from Alexandria describes a geometry-optimized U2Pt6Rh structure. The functional is GGA-PBE.

Lattice parameters (Å, degrees): 4.1053 6.5145 6.5529 108.25 108.25 90.00
Element x y z (fractional)
U1 0.9431 0.1831 0.8862
U2 0.0569 0.8169 0.1138
Pt1 0.3962 0.8312 0.7924
Pt2 0.6038 0.1688 0.2076
Pt3 0.7224 0.8377 0.4448
Pt4 0.1698 0.5076 0.3397
Pt5 0.2776 0.1623 0.5552
Pt6 0.8302 0.4924 0.6603
Rh1 0.5000 0.5000 0.0000

Calculated values
- symmetry = C2/m (12)
- Fermi-level density of states (states/eV/cell) = 9.4
- ρ (g cm⁻³) = 18.5
- volume (Å³ per cell) = 157.12

# 13
This record from Alexandria describes a geometry-optimized UPt3Rh structure. The functional is GGA-PBE.

Lattice parameters (Å, degrees): 5.2411 5.3711 7.1423 112.09 90.00 90.00
Element x y z (fractional)
U1 0.7500 0.3595 0.7190
U2 0.2500 0.6405 0.2810
Pt1 0.7500 0.3993 0.2968
Pt2 0.7500 0.8974 0.2968
Pt3 0.2500 0.1026 0.7032
Pt4 0.2500 0.6007 0.7032
Pt5 0.0000 0.0000 0.0000
Pt6 0.5000 0.0000 0.0000
Rh1 0.7500 0.8215 0.6429
Rh2 0.2500 0.1785 0.3571

Calculated values
- symmetry = Cmcm (63)
- Fermi-level density of states (states/eV/cell) = 15.6
- ρ (g cm⁻³) = 16.5
- volume (Å³ per cell) = 186.30

# 14
This record from Alexandria describes a geometry-optimized UPtRh3 structure. The functional is GGA-PBE.

Lattice parameters (Å, degrees): 4.6524 5.7782 6.4028 90.00 90.00 90.00
Element x y z (fractional)
U1 0.0000 0.0000 0.5275
U2 0.5000 0.5000 0.4725
Pt1 0.5000 0.0000 0.2112
Pt2 0.0000 0.5000 0.7888
Rh1 0.0000 0.7296 0.2335
Rh2 0.5000 0.7704 0.7665
Rh3 0.5000 0.2296 0.7665
Rh4 0.0000 0.2704 0.2335
Rh5 0.0000 0.0000 0.8928
Rh6 0.5000 0.5000 0.1072

Calculated values
- symmetry = Pmmn (59)
- Fermi-level density of states (states/eV/cell) = 6.9
- ρ (g cm⁻³) = 14.3
- volume (Å³ per cell) = 172.12

# 15
This record from Alexandria describes a geometry-optimized UPtRh3 structure. The functional is GGA-PBE.

Lattice parameters (Å, degrees): 4.6166 5.5229 6.9087 90.00 109.49 90.00
Element x y z (fractional)
U1 0.3843 0.2500 0.2673
U2 0.6157 0.7500 0.7327
Pt1 0.0070 0.2500 0.5126
Pt2 0.9930 0.7500 0.4874
Rh1 0.1884 0.0028 0.8766
Rh2 0.8116 0.5028 0.1234
Rh3 0.3765 0.7500 0.2541
Rh4 0.6235 0.2500 0.7459
Rh5 0.8116 0.9972 0.1234
Rh6 0.1884 0.4972 0.8766

Calculated values
- symmetry = P2_1/m (11)
- Fermi-level density of states (states/eV/cell) = 13.0
- ρ (g cm⁻³) = 14.8
- volume (Å³ per cell) = 166.06

# 16
This record from Alexandria describes a geometry-optimized U2Pt3Rh3 structure. The functional is GGA-PBE.

Lattice parameters (Å, degrees): 4.1841 4.0795 7.9691 90.00 90.00 90.00
Element x y z (fractional)
U1 0.0000 0.0000 0.7440
U2 0.0000 0.0000 0.2560
Pt1 0.5000 0.5000 0.7496
Pt2 0.5000 0.5000 0.2504
Pt3 0.5000 0.0000 0.0000
Rh1 0.5000 0.0000 0.5000
Rh2 0.0000 0.5000 0.0000
Rh3 0.0000 0.5000 0.5000

Calculated values
- symmetry = Pmmm (47)
- Fermi-level density of states (states/eV/cell) = 10.1
- ρ (g cm⁻³) = 16.7
- volume (Å³ per cell) = 136.03

# 17
This record from Alexandria describes a geometry-optimized UPt2Rh4 structure. The functional is GGA-PBE.

Lattice parameters (Å, degrees): 6.7402 6.7405 6.7365 111.46 111.52 105.53
Element x y z (fractional)
U1 0.2494 0.7497 0.4998
U2 0.0000 0.9995 0.9996
Pt1 0.6165 0.5233 0.3109
Pt2 0.2127 0.3056 0.6893
Pt3 0.6949 0.3840 0.9073
Pt4 0.4765 0.7876 0.0930
Rh1 0.7685 0.0200 0.6230
Rh2 0.5418 0.6307 0.6881
Rh3 0.3970 0.1460 0.3771
Rh4 0.8543 0.2312 0.2509
Rh5 0.9801 0.6026 0.7489
Rh6 0.9423 0.8542 0.3120
Rh7 0.1466 0.4578 0.0890
Rh8 0.3695 0.0577 0.9111

Calculated values
- symmetry = I-4 (82)
- Fermi-level density of states (states/eV/cell) = 19.4
- ρ (g cm⁻³) = 14.7
- volume (Å³ per cell) = 234.70

# 18
This record from Alexandria describes a geometry-optimized UPt3Rh3 structure. The functional is GGA-PBE.

Lattice parameters (Å, degrees): 5.6762 7.5550 5.6111 90.00 90.00 91.15
Element x y z (fractional)
U1 0.2677 0.2767 0.0000
U2 0.7323 0.7233 0.0000
Pt1 0.2719 0.2605 0.5001
Pt2 0.2473 0.7474 0.5000
Pt3 0.7527 0.2526 0.5000
Pt4 0.2611 0.7411 0.0000
Pt5 0.7389 0.2589 0.0000
Pt6 0.7281 0.7395 0.4999
Rh1 0.0000 0.0000 0.7586
Rh2 0.5000 0.0000 0.2445
Rh3 0.0001 0.5000 0.2497
Rh4 0.5000 0.0000 0.7555
Rh5 0.9999 0.5000 0.7503
Rh6 0.0000 0.0000 0.2414

Calculated values
- symmetry = P2/m (10)
- Fermi-level density of states (states/eV/cell) = 17.1
- ρ (g cm⁻³) = 15.6
- volume (Å³ per cell) = 240.58

# 19
This record from Alexandria describes a geometry-optimized U2Pt9Rh structure. The functional is GGA-PBE.

Lattice parameters (Å, degrees): 4.1134 4.1134 12.1087 90.00 90.00 90.00
Element x y z (fractional)
U1 0.0000 0.0000 0.3227
U2 0.0000 0.0000 0.6773
Pt1 0.5000 0.5000 0.0000
Pt2 0.5000 0.5000 0.3308
Pt3 0.5000 0.5000 0.6692
Pt4 0.5000 0.0000 0.1615
Pt5 0.5000 0.0000 0.5000
Pt6 0.5000 0.0000 0.8385
Pt7 0.0000 0.5000 0.1615
Pt8 0.0000 0.5000 0.5000
Pt9 0.0000 0.5000 0.8385
Rh1 0.0000 0.0000 0.0000

Calculated values
- symmetry = P4/mmm (123)
- Fermi-level density of states (states/eV/cell) = 18.1
- ρ (g cm⁻³) = 18.9
- volume (Å³ per cell) = 204.88

# 20
This record from Alexandria describes a geometry-optimized UPt2Rh8 structure. The functional is GGA-PBE.

Lattice parameters (Å, degrees): 3.9672 6.1903 7.3419 104.49 105.67 90.00
Element x y z (fractional)
U1 0.5000 0.0000 0.0000
Pt1 0.2244 0.6362 0.4489
Pt2 0.7756 0.3638 0.5511
Rh1 0.5905 0.4484 0.1811
Rh2 0.3178 0.0839 0.6355
Rh3 0.1344 0.1827 0.2688
Rh4 0.0451 0.7273 0.0901
Rh5 0.8656 0.8173 0.7312
Rh6 0.6822 0.9161 0.3645
Rh7 0.4095 0.5516 0.8189
Rh8 0.9549 0.2727 0.9099

Calculated values
- symmetry = C2/m (12)
- Fermi-level density of states (states/eV/cell) = 14.2
- ρ (g cm⁻³) = 14.4
- volume (Å³ per cell) = 167.63

# 21
This record from Alexandria describes a geometry-optimized UPt3Rh3 structure. The functional is GGA-PBE.

Lattice parameters (Å, degrees): 4.5606 7.5530 7.5530 120.00 90.00 90.00
Element x y z (fractional)
U1 0.2500 0.6667 0.3333
U2 0.7500 0.3333 0.6667
Pt1 0.2500 0.8019 0.7605
Pt2 0.2500 0.2395 0.0414
Pt3 0.2500 0.9586 0.1981
Pt4 0.7500 0.1981 0.2395
Pt5 0.7500 0.7605 0.9586
Pt6 0.7500 0.0414 0.8019
Rh1 0.7500 0.6214 0.5284
Rh2 0.7500 0.4716 0.0930
Rh3 0.7500 0.9070 0.3786
Rh4 0.2500 0.3786 0.4716
Rh5 0.2500 0.5284 0.9070
Rh6 0.2500 0.0930 0.6214

Calculated values
- symmetry = P6_3/m (176)
- Fermi-level density of states (states/eV/cell) = 15.6
- ρ (g cm⁻³) = 16.7
- volume (Å³ per cell) = 225.31

Number 1: ΔH_f (0 K) -4.77 eV per formula unit, final energy -6.4613 eV per atom. Number 2: ΔH_f (0 K) -7.97 eV per formula unit, final energy -6.2893 eV per atom. Number 3: ΔH_f (0 K) -4.57 eV per formula unit, final energy -5.9749 eV per atom. Number 4: ΔH_f (0 K) -5.61 eV per formula unit, final energy -5.5187 eV per atom. Number 5: ΔH_f (0 K) -3.77 eV per formula unit, final energy -7.5461 eV per atom. Number 6: ΔH_f (0 K) 4.44 eV per formula unit, final energy -6.9056 eV per atom. Number 7: ΔH_f (0 K) -4.19 eV per formula unit, final energy -8.4005 eV per atom. Number 8: ΔH_f (0 K) -5.98 eV per formula unit, final energy -8.5920 eV per atom. Number 9: ΔH_f (0 K) -2.26 eV per formula unit, final energy -7.7292 eV per atom. Number 10: ΔH_f (0 K) -4.39 eV per formula unit, final energy -8.3476 eV per atom. Number 11: ΔH_f (0 K) -3.45 eV per formula unit, final energy -7.4557 eV per atom. Number 12: ΔH_f (0 K) -5.28 eV per formula unit, final energy -7.9396 eV per atom. Number 13: ΔH_f (0 K) -2.14 eV per formula unit, final energy -7.7808 eV per atom. Number 14: ΔH_f (0 K) -2.18 eV per formula unit, final energy -8.3125 eV per atom. Number 15: ΔH_f (0 K) -2.12 eV per formula unit, final energy -8.3003 eV per atom. Number 16: ΔH_f (0 K) -5.98 eV per formula unit, final energy -8.5922 eV per atom. Number 17: ΔH_f (0 K) -1.68 eV per formula unit, final energy -7.7793 eV per atom. Number 18: ΔH_f (0 K) -1.87 eV per formula unit, final energy -7.6193 eV per atom. Number 19: ΔH_f (0 K) -5.73 eV per formula unit, final energy -7.5024 eV per atom. Number 20: ΔH_f (0 K) -2.73 eV per formula unit, final energy -7.7192 eV per atom. Number 21: ΔH_f (0 K) -2.82 eV per formula unit, final energy -7.7549 eV per atom.